Crystalline Na2CuAuF6 at its relaxed geometry. Source: Alexandria, functional PBE.

Values from the calculation:
Distance to the lowest polymorph of the same formula   1.02 eV/f.u.
Uncorrected formation energy   -17.20 eV/f.u.
Density of states at the Fermi level   4.7 states/eV/f.u.
Space-group type   Fm-3m (225)
Magnetic moment   0.09 μB/f.u.

a = 5.960 Å, b = 5.960 Å, c = 5.960 Å
α = 60.00°, β = 60.00°, γ = 60.00°
Element x y z (fractional)
Na  0.750  0.750  0.750
Na  0.250  0.250  0.250
Cu  0.500  0.500  0.500
Au  0.000  0.000  0.000
F  0.265  0.735  0.265
F  0.735  0.265  0.265
F  0.735  0.265  0.735
F  0.265  0.265  0.735
F  0.735  0.735  0.265
F  0.265  0.735  0.735

Crystalline NaCu2AuF8 at its relaxed geometry. Source: Alexandria, functional PBE.

Values from the calculation:
Uncorrected formation energy   -17.86 eV/f.u.
Density of states at the Fermi level   4.1 states/eV/f.u.
Space-group type   I-4 (82)
Magnetic moment   0.28 μB/f.u.

a = 5.470 Å, b = 5.470 Å, c = 6.760 Å
α = 113.87°, β = 113.87°, γ = 90.00°
Element x y z (fractional)
Na  0.750  0.250  0.500
Cu  0.500  0.500  0.000
Cu  0.250  0.750  0.500
Au  0.000  0.000  0.000
F  0.672  0.812  0.006
F  0.334  0.194  0.006
F  0.543  0.607  0.496
F  0.952  0.888  0.496
F  0.112  0.457  0.504
F  0.393  0.048  0.504
F  0.188  0.666  0.994
F  0.806  0.328  0.994

Crystalline NaCuAu2F8 at its relaxed geometry. Source: Alexandria, functional PBE.

Values from the calculation:
Uncorrected formation energy   -13.98 eV/f.u.
Density of states at the Fermi level   4.3 states/eV/f.u.
Space-group type   I-4m2 (119)
Magnetic moment   2.10 μB/f.u.

a = 6.201 Å, b = 6.201 Å, c = 6.201 Å
α = 113.99°, β = 113.99°, γ = 100.77°
Element x y z (fractional)
Na  0.000  0.000  0.000
Cu  0.250  0.750  0.500
Au  0.750  0.250  0.500
Au  0.500  0.500  0.000
F  0.362  0.044  0.318
F  0.287  0.508  0.221
F  0.287  0.067  0.779
F  0.726  0.044  0.682
F  0.933  0.713  0.221
F  0.956  0.274  0.318
F  0.956  0.638  0.682
F  0.492  0.713  0.779

Crystalline Na2CuAuF6 at its relaxed geometry. Source: Alexandria, functional PBE.

Values from the calculation:
Distance to the lowest polymorph of the same formula   0.00 eV/f.u.
Uncorrected formation energy   -18.21 eV/f.u.
Density of states at the Fermi level   0.3 states/eV/f.u.
Space-group type   P1 (1)
Magnetic moment   0.01 μB/f.u.

a = 5.842 Å, b = 5.786 Å, c = 5.855 Å
α = 63.33°, β = 66.85°, γ = 58.44°
Element x y z (fractional)
Na  0.523  0.540  0.419
Na  0.033  0.027  0.924
Cu  0.323  0.317  0.033
Au  0.820  0.823  0.537
F  0.575  0.201  0.252
F  0.255  0.988  0.208
F  0.926  0.592  0.297
F  0.394  0.641  0.821
F  0.719  0.091  0.738
F  0.095  0.439  0.787